(1)
{"formula": "TbHoU2As4", "functional": "PBE", "state": "optimized geometry", "cell": [[-0.707, -3.294, -2.280], [6.749, -0.045, -2.026], [-0.690, -3.974, 5.955]], "species": ["Tb", "Ho", "U", "U", "As", "As", "As", "As"], "fractional_positions": [[0.000, 0.000, 0.000], [0.500, 0.500, 0.000], [0.500, 0.000, 0.500], [0.000, 0.500, 0.500], [0.500, 0.252, 0.252], [0.500, 0.748, 0.748], [0.000, 0.251, 0.749], [0.000, 0.749, 0.251]], "delta_e_f_ev_per_atom": -1.137, "m_tot_mub_per_cell": 4.93, "space_group": "P2/m, No. 10"}

---

(2)
{"formula": "TbY3Ho2As6", "functional": "PBE", "state": "optimized geometry", "cell": [[7.133, 0.000, 0.001], [-3.565, 6.178, 0.001], [-1.189, -2.059, 6.724]], "species": ["Tb", "Y", "Y", "Y", "Ho", "Ho", "As", "As", "As", "As", "As", "As"], "fractional_positions": [[0.000, 0.000, 0.000], [0.166, 0.834, 0.500], [0.834, 0.166, 0.500], [0.500, 0.500, 0.500], [0.333, 0.667, 0.000], [0.667, 0.333, 0.000], [0.917, 0.582, 0.751], [0.748, 0.748, 0.249], [0.083, 0.418, 0.249], [0.582, 0.917, 0.751], [0.252, 0.252, 0.751], [0.418, 0.083, 0.249]], "delta_e_f_ev_per_atom": -1.545, "m_tot_mub_per_cell": 0.00, "space_group": "C2/m, No. 12"}